1.
DFT (PBE-GGA) results for a relaxed FeBiIr crystal.

Electronic total energy ... -6.627 eV/atom

Lattice parameters (Å, degrees): 6.117 6.117 6.117 90.00 90.00 90.00
Space group F-43m (No. 216)
Asymmetric unit:
Fe1 0.000 0.000 0.000 x4
Bi1 0.250 0.250 0.750 x4
Ir1 0.250 0.250 0.250 x4

2.
DFT (PBE-GGA) results for a relaxed FeBi2Ir2 crystal.

Electronic total energy ... -6.104 eV/atom

Lattice parameters (Å, degrees): 6.660 10.789 12.574 90.00 90.00 90.00
Space group Fddd (No. 70, origin choice 2)
Asymmetric unit:
Fe1 0.125 0.125 0.125 x8
Bi1 0.125 0.125 0.449 x16
Ir1 0.000 0.000 0.000 x16

3.
DFT (PBE-GGA) results for a relaxed MgFeBiIr crystal.

Distance to the lowest polymorph of the same formula ... 0.0000 eV per atom

Lattice parameters (Å, degrees): 6.523 6.523 6.523 90.00 90.00 90.00
Space group F-43m (No. 216)
Asymmetric unit:
Mg1 0.000 0.000 0.000 x4
Fe1 0.250 0.250 0.750 x4
Bi1 0.000 0.000 0.500 x4
Ir1 0.250 0.250 0.250 x4

4.
DFT (PBE-GGA) results for a relaxed FeBiMoIr crystal.

Distance to the lowest polymorph of the same formula ... 0.0000 eV per atom

Lattice parameters (Å, degrees): 6.437 6.437 6.437 90.00 90.00 90.00
Space group F-43m (No. 216)
Asymmetric unit:
Fe1 0.000 0.000 0.000 x4
Bi1 0.250 0.250 0.750 x4
Mo1 0.000 0.000 0.500 x4
Ir1 0.250 0.250 0.250 x4

5.
DFT (PBE-GGA) results for a relaxed FeNiBiIr crystal.

Distance to the lowest polymorph of the same formula ... 0.0000 eV per atom

Lattice parameters (Å, degrees): 6.282 6.282 6.282 90.00 90.00 90.00
Space group F-43m (No. 216)
Asymmetric unit:
Fe1 0.000 0.000 0.000 x4
Ni1 0.000 0.000 0.500 x4
Bi1 0.250 0.250 0.750 x4
Ir1 0.250 0.250 0.250 x4

6.
DFT (PBE-GGA) results for a relaxed FeBiIrOs crystal.

Distance to the lowest polymorph of the same formula ... 0.0000 eV per atom

Lattice parameters (Å, degrees): 6.405 6.405 6.405 90.00 90.00 90.00
Space group F-43m (No. 216)
Asymmetric unit:
Fe1 0.000 0.000 0.000 x4
Bi1 0.250 0.250 0.750 x4
Ir1 0.250 0.250 0.250 x4
Os1 0.000 0.000 0.500 x4

7.
DFT (PBE-GGA) results for a relaxed FeBiIrPd crystal.

Distance to the lowest polymorph of the same formula ... 0.0000 eV per atom

Lattice parameters (Å, degrees): 6.458 6.458 6.458 90.00 90.00 90.00
Space group F-43m (No. 216)
Asymmetric unit:
Fe1 0.000 0.000 0.000 x4
Bi1 0.250 0.250 0.750 x4
Ir1 0.000 0.000 0.500 x4
Pd1 0.250 0.250 0.250 x4

8.
DFT (PBE-GGA) results for a relaxed FeBiIrPt crystal.

Distance to the lowest polymorph of the same formula ... 0.0000 eV per atom

Lattice parameters (Å, degrees): 6.475 6.475 6.475 90.00 90.00 90.00
Space group F-43m (No. 216)
Asymmetric unit:
Fe1 0.000 0.000 0.000 x4
Bi1 0.250 0.250 0.750 x4
Ir1 0.000 0.000 0.500 x4
Pt1 0.250 0.250 0.250 x4

9.
DFT (PBE-GGA) results for a relaxed FeTcBiIr crystal.

Distance to the lowest polymorph of the same formula ... 0.0000 eV per atom

Lattice parameters (Å, degrees): 6.397 6.397 6.397 90.00 90.00 90.00
Space group F-43m (No. 216)
Asymmetric unit:
Fe1 0.000 0.000 0.000 x4
Tc1 0.000 0.000 0.500 x4
Bi1 0.250 0.250 0.750 x4
Ir1 0.250 0.250 0.250 x4

10.
DFT (PBE-GGA) results for a relaxed YFeBiIr crystal.

Distance to the lowest polymorph of the same formula ... 0.1770 eV per atom

Lattice parameters (Å, degrees): 6.768 6.768 6.768 90.00 90.00 90.00
Space group F-43m (No. 216)
Asymmetric unit:
Y1 0.000 0.000 0.000 x4
Fe1 0.000 0.000 0.500 x4
Bi1 0.250 0.250 0.250 x4
Ir1 0.250 0.250 0.750 x4

11.
DFT (PBE-GGA) results for a relaxed YFeBiIr crystal.

Distance to the lowest polymorph of the same formula ... 0.0000 eV per atom

Lattice parameters (Å, degrees): 6.785 6.785 6.785 90.00 90.00 90.00
Space group F-43m (No. 216)
Asymmetric unit:
Y1 0.000 0.000 0.000 x4
Fe1 0.250 0.250 0.750 x4
Bi1 0.000 0.000 0.500 x4
Ir1 0.250 0.250 0.250 x4

12.
DFT (PBE-GGA) results for a relaxed ZnFeBiIr crystal.

Distance to the lowest polymorph of the same formula ... 0.0000 eV per atom

Lattice parameters (Å, degrees): 6.434 6.434 6.434 90.00 90.00 90.00
Space group F-43m (No. 216)
Asymmetric unit:
Zn1 0.000 0.000 0.000 x4
Fe1 0.250 0.250 0.750 x4
Bi1 0.000 0.000 0.500 x4
Ir1 0.250 0.250 0.250 x4